# Be3SnF

Be3SnF after structural relaxation (PBE, Alexandria via LeMat-Bulk).

```
Be3SnF
1.0
4.5925 0.0000 0.0000
0.0000 4.5925 0.0000
0.0000 0.0000 4.5925
Be Sn F
3 1 1
Direct
0.0000 0.0000 0.5000
0.0000 0.5000 0.0000
0.5000 0.0000 0.0000
0.0000 0.0000 0.0000
0.5000 0.5000 0.5000
```

* DOS(E_F): 0.457 states/eV per atom
* polymorph energy (0 for the lowest one): 584 meV/atom
* formation energy from raw total energies: 357 kJ/mol of formula units
* calculated volume: 19.4 Å³/atom


# Be3SnF

Be3SnF after structural relaxation (PBE, Alexandria via LeMat-Bulk).

```
Be3SnF
1.0
3.9763 0.0000 0.0000
0.0000 3.9763 0.0000
0.0000 0.0000 3.9763
Be Sn F
3 1 1
Direct
0.0000 0.0000 0.5000
0.0000 0.5000 0.0000
0.5000 0.0000 0.0000
0.5000 0.5000 0.5000
0.0000 0.0000 0.0000
```

* DOS(E_F): 0.154 states/eV per atom
* polymorph energy (0 for the lowest one): 0 meV/atom
* formation energy from raw total energies: 75 kJ/mol of formula units
* calculated volume: 12.6 Å³/atom


# Be2SnF

Be2SnF after structural relaxation (PBE, Alexandria via LeMat-Bulk).

```
Be2SnF
1.0
0.0000 3.0431 3.0431
3.0431 0.0000 3.0431
3.0431 3.0431 0.0000
Be Sn F
2 1 1
Direct
0.2500 0.2500 0.2500
0.7500 0.7500 0.7500
0.0000 0.0000 0.0000
0.5000 0.5000 0.5000
```

* DOS(E_F): 0.965 states/eV per atom
* polymorph energy (0 for the lowest one): 618 meV/atom
* formation energy from raw total energies: 65 kJ/mol of formula units
* calculated volume: 14.1 Å³/atom


# BeSn2F6

BeSn2F6 after structural relaxation (PBE, Alexandria via LeMat-Bulk).

```
BeSn2F6
1.0
5.4909 -4.3739 0.0000
5.4909 4.3739 0.0000
-4.9409 0.0000 7.0749
Be Sn F
2 4 12
Direct
0.0705 0.9295 0.7500
0.9295 0.0705 0.2500
0.1275 0.5792 0.2933
0.4208 0.8725 0.2067
0.5792 0.1275 0.7933
0.8725 0.4208 0.7067
0.0806 0.1522 0.7484
0.0884 0.7413 0.5716
0.1522 0.0806 0.2484
0.2075 0.6091 0.0613
0.2587 0.9116 0.9284
0.3909 0.7925 0.4387
0.6091 0.2075 0.5613
0.7413 0.0884 0.0716
0.7925 0.3909 0.9387
0.8478 0.9194 0.7516
0.9116 0.2587 0.4284
0.9194 0.8478 0.2516
```

* DOS(E_F): 0.000 states/eV per atom
* polymorph energy (0 for the lowest one): 0 meV/atom
* formation energy from raw total energies: -2261 kJ/mol of formula units
* calculated volume: 18.9 Å³/atom


# BeTl2SnF6

BeTl2SnF6 after structural relaxation (PBE, Alexandria via LeMat-Bulk).

```
BeTl2SnF6
1.0
5.6457 0.0000 0.0000
-1.7543 6.0154 0.0000
-1.8793 -3.0420 5.5376
Be Tl Sn F
1 2 1 6
Direct
0.0000 0.0000 0.0000
0.3285 0.6714 0.0409
0.4697 0.2065 0.6632
0.8524 0.5322 0.3666
0.2708 0.7056 0.4545
0.3074 0.1245 0.1920
0.8381 0.7674 0.0186
0.8767 0.2012 0.0427
0.9335 0.3516 0.5710
0.9994 0.9003 0.7398
```

* DOS(E_F): 0.000 states/eV per atom
* formation energy from raw total energies: -2305 kJ/mol of formula units
* calculated volume: 18.8 Å³/atom


# BeZnSnF6

BeZnSnF6 after structural relaxation (PBE, Alexandria via LeMat-Bulk).

```
BeZnSnF6
1.0
5.1279 0.0000 0.0000
-2.5640 4.4409 0.0000
0.0000 0.0000 5.1243
Be Zn Sn F
1 1 1 6
Direct
0.0000 0.0000 0.0000
0.6667 0.3333 0.0000
0.3333 0.6667 0.5000
0.2954 0.0185 0.2013
0.2954 0.2769 0.7987
0.7231 0.0185 0.7987
0.7231 0.7046 0.2013
0.9815 0.2769 0.2013
0.9815 0.7046 0.7987
```

* DOS(E_F): 0.000 states/eV per atom
* formation energy from raw total energies: -2169 kJ/mol of formula units
* calculated volume: 13.0 Å³/atom


# BeZnSn2F

BeZnSn2F after structural relaxation (PBE, Alexandria via LeMat-Bulk).

```
BeZnSn2F
1.0
5.3994 0.0000 0.0000
0.0000 5.3994 0.0000
0.0000 0.0000 3.2284
Be Zn Sn F
1 1 2 1
Direct
0.0000 0.0000 0.0000
0.5000 0.5000 0.5000
0.0000 0.5000 0.0000
0.5000 0.0000 0.0000
0.0000 0.0000 0.5000
```

* DOS(E_F): 0.325 states/eV per atom
* formation energy from raw total energies: -228 kJ/mol of formula units
* calculated volume: 18.8 Å³/atom


# SrBeF2

SrBeF2 after structural relaxation (PBE, Alexandria via LeMat-Bulk).

```
SrBeF2
1.0
-2.5587 2.5587 5.1230
2.5587 -2.5587 5.1230
2.5587 2.5587 -5.1230
Sr Be F
2 2 4
Direct
0.3750 0.6250 0.7500
0.6250 0.3750 0.2500
0.1250 0.8750 0.2500
0.8750 0.1250 0.7500
0.0000 0.0000 0.0000
0.0000 0.0000 0.5000
0.0000 0.5000 0.0000
0.5000 0.0000 0.5000
```

* DOS(E_F): 0.311 states/eV per atom
* polymorph energy (0 for the lowest one): 553 meV/atom
* formation energy from raw total energies: -645 kJ/mol of formula units
* calculated volume: 16.8 Å³/atom


# Sr3BeF

Sr3BeF after structural relaxation (PBE, Alexandria via LeMat-Bulk).

```
Sr3BeF
1.0
5.2720 0.0000 0.0000
0.0000 5.2720 0.0000
0.0000 0.0000 5.2720
Sr Be F
3 1 1
Direct
0.0000 0.0000 0.5000
0.0000 0.5000 0.0000
0.5000 0.0000 0.0000
0.5000 0.5000 0.5000
0.0000 0.0000 0.0000
```

* DOS(E_F): 0.550 states/eV per atom
* polymorph energy (0 for the lowest one): 0 meV/atom
* formation energy from raw total energies: -337 kJ/mol of formula units
* calculated volume: 29.3 Å³/atom


# SrBeF2

SrBeF2 after structural relaxation (PBE, Alexandria via LeMat-Bulk).

```
SrBeF2
1.0
2.1022 1.2137 4.7633
-2.1022 1.2137 4.7633
0.0000 -2.4274 4.7633
Sr Be F
1 1 2
Direct
0.0000 0.0000 0.0000
0.5000 0.5000 0.5000
0.3894 0.3894 0.3894
0.6106 0.6106 0.6106
```

* DOS(E_F): 0.000 states/eV per atom
* polymorph energy (0 for the lowest one): 0 meV/atom
* formation energy from raw total energies: -858 kJ/mol of formula units
* calculated volume: 18.2 Å³/atom


# SrBe2F

SrBe2F after structural relaxation (PBE, Alexandria via LeMat-Bulk).

```
SrBe2F
1.0
0.0000 3.4379 3.4379
3.4379 0.0000 3.4379
3.4379 3.4379 0.0000
Sr Be F
1 2 1
Direct
0.0000 0.0000 0.0000
0.2500 0.2500 0.2500
0.7500 0.7500 0.7500
0.5000 0.5000 0.5000
```

* DOS(E_F): 0.659 states/eV per atom
* polymorph energy (0 for the lowest one): 475 meV/atom
* formation energy from raw total energies: 168 kJ/mol of formula units
* calculated volume: 20.3 Å³/atom


# SrBeF2

SrBeF2 after structural relaxation (PBE, Alexandria via LeMat-Bulk).

```
SrBeF2
1.0
0.0000 3.1829 3.1829
3.1829 0.0000 3.1829
3.1829 3.1829 0.0000
Sr Be F
1 1 2
Direct
0.0000 0.0000 0.0000
0.5000 0.5000 0.5000
0.2500 0.2500 0.2500
0.7500 0.7500 0.7500
```

* DOS(E_F): 0.000 states/eV per atom
* polymorph energy (0 for the lowest one): 471 meV/atom
* formation energy from raw total energies: -677 kJ/mol of formula units
* calculated volume: 16.1 Å³/atom


# SrBe2F

SrBe2F after structural relaxation (PBE, Alexandria via LeMat-Bulk).

```
SrBe2F
1.0
-2.9883 2.9883 4.2368
2.9883 -2.9883 4.2368
2.9883 2.9883 -4.2368
Sr Be F
2 4 2
Direct
0.0000 0.0000 0.0000
0.7500 0.2500 0.5000
0.3740 0.6250 0.2490
0.3750 0.6240 0.7490
0.3760 0.1250 0.7510
0.8750 0.6260 0.2510
0.2500 0.7500 0.5000
0.5000 0.5000 0.0000
```

* DOS(E_F): 1.114 states/eV per atom
* polymorph energy (0 for the lowest one): 0 meV/atom
* formation energy from raw total energies: -16 kJ/mol of formula units
* calculated volume: 18.9 Å³/atom


# SrBe2TlF8

SrBe2TlF8 after structural relaxation (PBE, Alexandria via LeMat-Bulk).

```
SrBe2TlF8
1.0
2.7046 1.5615 6.0818
-2.7046 1.5615 6.0818
0.0000 -3.1230 6.0818
Sr Be Tl F
1 2 1 8
Direct
0.0000 0.0000 0.0000
0.2318 0.2318 0.2318
0.7682 0.7682 0.7682
0.5000 0.5000 0.5000
0.0392 0.5156 0.6558
0.1477 0.1477 0.1477
0.3442 0.9608 0.4844
0.4844 0.3442 0.9608
0.5156 0.6558 0.0392
0.6558 0.0392 0.5156
0.8523 0.8523 0.8523
0.9608 0.4844 0.3442
```

* DOS(E_F): 0.311 states/eV per atom
* formation energy from raw total energies: -3472 kJ/mol of formula units
* calculated volume: 12.8 Å³/atom